The following is a GGA+U calculation of a geometry-optimized ScCoPbF6 structure, from Alexandria via LeMat-Bulk.

a b c (Å): 5.4864 5.4864 11.0009
angles (deg): 90.00 90.00 120.00
Last column: magnetic moment on the atom in μB.
Element x y z (fractional)
Sc  0.6667  0.3333  0.2500  -0.04
Sc  0.3333  0.6667  0.7500  -0.04
Co  0.3333  0.6667  0.2500  1.99
Co  0.6667  0.3333  0.7500  1.99
Pb  0.0000  0.0000  0.0000  0.00
Pb  0.0000  0.0000  0.5000  0.00
F  0.6580  0.6340  0.1417  0.01
F  0.9759  0.3420  0.1417  0.01
F  0.3420  0.9759  0.6417  0.01
F  0.0241  0.6580  0.8583  0.01
F  0.3660  0.3420  0.3583  0.01
F  0.9759  0.6340  0.3583  0.01
F  0.6340  0.9759  0.8583  0.01
F  0.6580  0.0241  0.3583  0.01
F  0.0241  0.3660  0.6417  0.01
F  0.3660  0.0241  0.1417  0.01
F  0.6340  0.6580  0.6417  0.01
F  0.3420  0.3660  0.8583  0.01

Computed properties:
- E (eV/atom) = -5.6769
- space-group type = No. 163